Entry from Alexandria via LeMat-Bulk: a relaxed BaSr4Fe5O10 crystal (PBEsol).

abc: 3.8052 3.8052 18.2496
angles: 90.00 90.00 90.00
With the nearest neighbours (Å) after each atom.
Fractional coordinates of all 20 atoms:
Ba (0.0000, 0.0000, 0.0000)  8 O 2.79
Sr (0.0000, 0.0000, 0.2069)  8 O 2.58-2.62
Sr (0.0000, 0.0000, 0.4024)  8 O 2.60-2.61
Sr (0.0000, 0.0000, 0.5976)  8 O 2.60-2.61
Sr (0.0000, 0.0000, 0.7931)  8 O 2.58-2.62
Fe (0.5000, 0.5000, 0.1109)  4 O 1.90
Fe (0.5000, 0.5000, 0.3053)  4 O 1.90
Fe (0.5000, 0.5000, 0.5000)  4 O 1.90
Fe (0.5000, 0.5000, 0.6947)  4 O 1.90
Fe (0.5000, 0.5000, 0.8891)  4 O 1.90
O (0.0000, 0.5000, 0.1116)  2 Fe 1.90
O (0.0000, 0.5000, 0.3053)  2 Fe 1.90
O (0.0000, 0.5000, 0.5000)  2 Fe 1.90
O (0.0000, 0.5000, 0.6947)  2 Fe 1.90
O (0.0000, 0.5000, 0.8884)  2 Fe 1.90
O (0.5000, 0.0000, 0.1116)  2 Fe 1.90
O (0.5000, 0.0000, 0.3053)  2 Fe 1.90
O (0.5000, 0.0000, 0.5000)  2 Fe 1.90
O (0.5000, 0.0000, 0.6947)  2 Fe 1.90
O (0.5000, 0.0000, 0.8884)  2 Fe 1.90

Calculated total energy, eV per atom: -7.259
Total magnetic moment, μB per formula unit: 2.64
Excess energy over the best structure of this formula in the dataset, kJ/mol of formula units: 32
ΔE_f (raw), eV per formula unit: -38.35

---

Entry from Alexandria via LeMat-Bulk: a relaxed Ba4Ta10FeO30 crystal (PBEsol).

abc: 9.9223 9.9223 9.9223
angles: 133.65 118.07 80.75
With the nearest neighbours (Å) after each atom.
Fractional coordinates of all 45 atoms:
Ba (0.0000, 0.0000, 0.0000)  8 O 2.73-2.98
Ba (0.0095, 0.5095, 0.5000)  3 O 2.67-2.74
Ba (0.4031, 0.4031, 0.0000)  7 O 2.66-2.90
Ba (0.4178, 0.9178, 0.5000)  8 O 2.80-2.90
Ta (0.0199, 0.0856, 0.4345)  6 O 1.96-2.05
Ta (0.0199, 0.5854, 0.9343)  6 O 1.96-2.05
Ta (0.2087, 0.4582, 0.2495)  6 O 1.96-1.98
Ta (0.2087, 0.9592, 0.7505)  6 O 1.96-1.98
Ta (0.3987, 0.3336, 0.5674)  6 O 1.93-2.05
Ta (0.3987, 0.8313, 0.0650)  6 O 1.93-2.05
Ta (0.6511, 0.0856, 0.0657)  6 O 1.96-2.05
Ta (0.6511, 0.5854, 0.5655)  6 O 1.96-2.05
Ta (0.7662, 0.3336, 0.9350)  6 O 1.93-2.05
Ta (0.7662, 0.8313, 0.4326)  6 O 1.93-2.05
Fe (0.6850, 0.1850, 0.5000)  6 O 2.15-2.18
O (0.0013, 0.8372, 0.1641)  2 Ta 1.96
O (0.0551, 0.3570, 0.6981)  2 Ta 1.98
O (0.1749, 0.0357, 0.6007)  2 Ta 1.96-1.98
O (0.1749, 0.5742, 0.1392)  2 Ta 1.96-1.98
O (0.1910, 0.6910, 0.5000)  2 Ta 1.97
O (0.2148, 0.1924, 0.4823)  2 Ta 1.93-2.05
O (0.2148, 0.7325, 0.0224)  2 Ta 1.93-2.05
O (0.2261, 0.2261, 0.0000)  2 Ta 1.97
O (0.2471, 0.3381, 0.3541)  2 Ta 1.96
O (0.2471, 0.8930, 0.9090)  2 Ta 1.96
O (0.3849, 0.5872, 0.7976)  2 Ta 1.95
O (0.4350, 0.0357, 0.8608)  2 Ta 1.96-1.98
O (0.4350, 0.5742, 0.3993)  2 Ta 1.96-1.98
O (0.4397, 0.0779, 0.3618)  2 Ta 2.02, 1 Fe 2.15
O (0.5402, 0.3260, 0.7857)  2 Ta 2.00
O (0.5402, 0.7545, 0.2143)  2 Ta 2.00
O (0.5776, 0.0012, 0.1547)  2 Ta 1.96-2.05, 1 Fe 2.18
O (0.5776, 0.4229, 0.5764)  2 Ta 1.96-2.05, 1 Fe 2.18
O (0.6590, 0.3570, 0.3019)  2 Ta 1.98
O (0.6731, 0.8372, 0.8359)  2 Ta 1.96
O (0.7101, 0.1924, 0.9776)  2 Ta 1.93-2.05
O (0.7101, 0.7325, 0.5177)  2 Ta 1.93-2.05
O (0.7162, 0.0779, 0.6382)  2 Ta 2.02, 1 Fe 2.15
O (0.7896, 0.5872, 0.2024)  2 Ta 1.95
O (0.8465, 0.0012, 0.4236)  2 Ta 1.96-2.05, 1 Fe 2.18
O (0.8465, 0.4229, 0.8453)  2 Ta 1.96-2.05, 1 Fe 2.18
O (0.8817, 0.1461, 0.2643)  2 Ta 2.01
O (0.8817, 0.6174, 0.7357)  2 Ta 2.01
O (0.9840, 0.3381, 0.0910)  2 Ta 1.96
O (0.9840, 0.8930, 0.6459)  2 Ta 1.96

Calculated total energy, eV per atom: -9.562
Total magnetic moment, μB per formula unit: 3.99
ΔE_f (raw), eV per formula unit: -129.73

---

Entry from Alexandria via LeMat-Bulk: a relaxed BaTbFe2O5 crystal (PBEsol).

abc: 3.8611 3.8611 7.2898
angles: 90.00 90.00 90.00
With the nearest neighbours (Å) after each atom.
Fractional coordinates of all 9 atoms:
Ba (0.0000, 0.0000, 0.0000)  12 O 2.73-2.94
Tb (0.0000, 0.0000, 0.5000)  8 O 2.40
Fe (0.5000, 0.5000, 0.2765)  5 O 1.94-2.02
Fe (0.5000, 0.5000, 0.7235)  5 O 1.94-2.02
O (0.0000, 0.5000, 0.3046)  2 Fe 1.94
O (0.0000, 0.5000, 0.6954)  2 Fe 1.94
O (0.5000, 0.0000, 0.3046)  2 Fe 1.94
O (0.5000, 0.0000, 0.6954)  2 Fe 1.94
O (0.5000, 0.5000, 0.0000)  2 Fe 2.02

Calculated total energy, eV per atom: -7.931
Total magnetic moment, μB per formula unit: 7.10
ΔE_f (raw), eV per formula unit: -20.05

---

Entry from Alexandria via LeMat-Bulk: a relaxed BaTmFe4O7 crystal (PBEsol).

abc: 6.2706 6.2706 6.2706
angles: 121.00 121.00 88.28
With the nearest neighbours (Å) after each atom.
Fractional coordinates of all 13 atoms:
Ba (0.0000, 0.0000, 0.0000)  4 O 2.69
Tm (0.2500, 0.7500, 0.5000)  6 O 2.19-2.20
Fe (0.0919, 0.3786, 0.7454)  4 O 1.92-2.08
Fe (0.6214, 0.3668, 0.7133)  4 O 1.92-2.08
Fe (0.6332, 0.3465, 0.2546)  4 O 1.92-2.08
Fe (0.6535, 0.9081, 0.2867)  4 O 1.92-2.08
O (0.0059, 0.5059, 0.5000)  2 Fe 1.92
O (0.0256, 0.0145, 0.5928)  2 Fe 1.92-1.93
O (0.4217, 0.4328, 0.4072)  2 Fe 1.92-1.93
O (0.4941, 0.9941, 0.5000)  2 Fe 1.92
O (0.5000, 0.5000, 0.0000)  4 Fe 2.08
O (0.5672, 0.9744, 0.9889)  2 Fe 1.92-1.93
O (0.9855, 0.5783, 0.0111)  2 Fe 1.92-1.93

Calculated total energy, eV per atom: -7.926
Total magnetic moment, μB per formula unit: 17.00
ΔE_f (raw), eV per formula unit: -23.40

---

Result set for V: 13.213; 13.394; 12.075; 13.202 Å³ per atom, one per record in the order listed.